Material: Mg7Tl3Sn2
Method: DFT, PBE
State: optimized geometry

abc: 12.235 12.235 5.105
angles: 90.00 90.00 155.90
Element x y z (fractional)
1 Mg 0.000 0.000 0.000
2 Mg 0.075 0.925 0.500
3 Mg 0.279 0.721 0.000
4 Mg 0.425 0.575 0.000
5 Mg 0.575 0.425 0.000
6 Mg 0.721 0.279 0.000
7 Mg 0.925 0.075 0.500
8 Tl 0.340 0.660 0.500
9 Tl 0.500 0.500 0.500
10 Tl 0.660 0.340 0.500
11 Sn 0.148 0.852 0.000
12 Sn 0.852 0.148 0.000

Output
The crystal system is orthorhombic. Its calculated formation energy is -0.003 eV per atom. The total energy comes out at -2.19 eV per atom. The value obtained for the magnetic moment is 0.000 μB per cell.

Material: Mg8Tl6Sn
Method: DFT, PBE
State: optimized geometry

abc: 11.583 11.583 3.378
angles: 90.00 90.00 120.00
Element x y z (fractional)
1 Mg 0.065 0.275 0.239
2 Mg 0.209 0.935 0.239
3 Mg 0.275 0.209 0.761
4 Mg 0.333 0.667 0.737
5 Mg 0.667 0.333 0.263
6 Mg 0.725 0.791 0.239
7 Mg 0.791 0.065 0.761
8 Mg 0.935 0.725 0.761
9 Tl 0.101 0.637 0.241
10 Tl 0.363 0.465 0.241
11 Tl 0.465 0.101 0.759
12 Tl 0.535 0.899 0.241
13 Tl 0.637 0.535 0.759
14 Tl 0.899 0.363 0.759
15 Sn 0.000 0.000 0.500

Output
The crystal system is trigonal. Its calculated formation energy is 0.033 eV per atom. The total energy comes out at -2.03 eV per atom. The value obtained for the magnetic moment is 0.000 μB per cell.

Material: Mg2Tl2Sn
Method: DFT, PBE
State: optimized geometry

abc: 8.020 8.020 8.020
angles: 148.66 148.66 44.92
Element x y z (fractional)
1 Mg 0.096 0.096 0.000
2 Mg 0.904 0.904 0.000
3 Tl 0.250 0.750 0.500
4 Tl 0.750 0.250 0.500
5 Sn 0.500 0.500 0.000

Output
The crystal system is tetragonal. The energy above the most stable polymorph in this dataset is 11.3 kJ per mole of atoms. Its calculated formation energy is 0.140 eV per atom. The total energy comes out at -2.24 eV per atom. The value obtained for the magnetic moment is 0.000 μB per cell.

Material: MgTl2Sn2
Method: DFT, PBE
State: optimized geometry

abc: 8.555 8.555 8.555
angles: 150.41 150.41 42.35
Element x y z (fractional)
1 Mg 0.000 0.000 0.000
2 Tl 0.250 0.750 0.500
3 Tl 0.750 0.250 0.500
4 Sn 0.409 0.409 0.000
5 Sn 0.591 0.591 0.000

Output
The crystal system is tetragonal. The energy above the most stable polymorph in this dataset is 21.3 kJ per mole of atoms. Its calculated formation energy is 0.177 eV per atom. The total energy comes out at -2.69 eV per atom. The value obtained for the magnetic moment is 0.000 μB per cell.

Material: Mg12Tl3Sn
Method: DFT, PBE
State: optimized geometry

abc: 4.478 4.478 18.389
angles: 90.00 90.00 90.00
Element x y z (fractional)
1 Mg 0.000 0.000 0.000
2 Mg 0.000 0.000 0.248
3 Mg 0.000 0.000 0.500
4 Mg 0.000 0.000 0.752
5 Mg 0.000 0.500 0.122
6 Mg 0.000 0.500 0.373
7 Mg 0.000 0.500 0.627
8 Mg 0.000 0.500 0.878
9 Mg 0.500 0.000 0.122
10 Mg 0.500 0.000 0.373
11 Mg 0.500 0.000 0.627
12 Mg 0.500 0.000 0.878
13 Tl 0.500 0.500 0.248
14 Tl 0.500 0.500 0.500
15 Tl 0.500 0.500 0.752
16 Sn 0.500 0.500 0.000

Output
The crystal system is tetragonal. Its calculated formation energy is -0.063 eV per atom. The total energy comes out at -1.95 eV per atom. The value obtained for the magnetic moment is 0.000 μB per cell.

Material: MgTlSn2
Method: DFT, PBE
State: optimized geometry

abc: 5.336 5.336 5.336
angles: 60.00 60.00 60.00
Element x y z (fractional)
1 Mg 0.000 0.000 0.000
2 Tl 0.250 0.250 0.250
3 Sn 0.500 0.500 0.500
4 Sn 0.750 0.750 0.750

Output
The crystal system is cubic. The energy above the most stable polymorph in this dataset is 6.5 kJ per mole of atoms. Its calculated formation energy is 0.015 eV per atom. The total energy comes out at -2.98 eV per atom. The value obtained for the magnetic moment is 0.000 μB per cell.

The highest calculated formation energy belongs to which entry?
MgTl2Sn2

Which formula does entry 5 have?
Mg12Tl3Sn

Which formula does entry 3 have?
Mg2Tl2Sn